Entry 1:
# ThNi (SCAN, PBEsol geometry)
data_ThNi
_space_group_name_H-M_alt 'P 1'
_space_group_IT_number 1
_cell_length_a 4.239
_cell_length_b 5.577
_cell_length_c 6.958
_cell_angle_alpha 90.00
_cell_angle_beta 90.00
_cell_angle_gamma 90.00
loop_
_space_group_symop_operation_xyz
'x,y,z'
loop_
_atom_site_label
_atom_site_type_symbol
_atom_site_fract_x
_atom_site_fract_y
_atom_site_fract_z
Th1 Th 0.250 0.636 0.319
Th2 Th 0.750 0.136 0.181
Th3 Th 0.250 0.864 0.819
Th4 Th 0.750 0.364 0.681
Ni1 Ni 0.250 0.133 0.458
Ni2 Ni 0.750 0.633 0.042
Ni3 Ni 0.750 0.867 0.542
Ni4 Ni 0.250 0.367 0.958
# Energy of formation from the pure elements   -40 kJ/mol of atoms
# Crystal system   orthorhombic

---

Entry 2:
# YPWO2 (SCAN, PBEsol geometry)
data_YPWO2
_space_group_name_H-M_alt 'P 1'
_space_group_IT_number 1
_cell_length_a 3.896
_cell_length_b 3.896
_cell_length_c 4.950
_cell_angle_alpha 90.00
_cell_angle_beta 90.00
_cell_angle_gamma 90.00
loop_
_space_group_symop_operation_xyz
'x,y,z'
loop_
_atom_site_label
_atom_site_type_symbol
_atom_site_fract_x
_atom_site_fract_y
_atom_site_fract_z
Y1 Y 0.500 0.500 0.500
P1 P 0.000 0.000 0.500
W1 W 0.000 0.000 0.000
O1 O 0.500 0.000 0.000
O2 O 0.000 0.500 0.000
# Formation energy without anion corrections   -803 kJ/mol of formula units
# Crystal system   tetragonal

---

Entry 3:
# K2MnSe2 (SCAN, PBEsol geometry)
data_K2MnSe2
_space_group_name_H-M_alt 'P 1'
_space_group_IT_number 1
_cell_length_a 6.425
_cell_length_b 7.004
_cell_length_c 8.091
_cell_angle_alpha 115.64
_cell_angle_beta 113.39
_cell_angle_gamma 90.00
loop_
_space_group_symop_operation_xyz
'x,y,z'
loop_
_atom_site_label
_atom_site_type_symbol
_atom_site_fract_x
_atom_site_fract_y
_atom_site_fract_z
K1 K 0.645 0.478 0.291
K2 K 0.355 0.522 0.709
K3 K 0.145 0.812 0.291
K4 K 0.855 0.188 0.709
Mn1 Mn 0.750 0.000 0.000
Mn2 Mn 0.250 0.000 0.000
Se1 Se 0.105 0.302 0.211
Se2 Se 0.605 0.909 0.211
Se3 Se 0.395 0.091 0.789
Se4 Se 0.895 0.698 0.789
# Formation energy without anion corrections   -614 kJ/mol of formula units
# Crystal system   orthorhombic

---

Entry 4:
# CrCdAs2 (SCAN, PBEsol geometry)
data_CrCdAs2
_space_group_name_H-M_alt 'P 1'
_space_group_IT_number 1
_cell_length_a 3.539
_cell_length_b 4.521
_cell_length_c 4.521
_cell_angle_alpha 100.08
_cell_angle_beta 90.00
_cell_angle_gamma 90.00
loop_
_space_group_symop_operation_xyz
'x,y,z'
loop_
_atom_site_label
_atom_site_type_symbol
_atom_site_fract_x
_atom_site_fract_y
_atom_site_fract_z
As1 As 0.000 0.000 0.500
As2 As 0.000 0.500 0.000
Cr1 Cr 0.500 0.500 0.500
Cd1 Cd 0.500 0.000 0.000
# Energy of formation from the pure elements   9 kJ/mol of atoms
# Crystal system   orthorhombic

---

Entry 5:
# Li2NpIn (SCAN, PBEsol geometry)
data_Li2NpIn
_space_group_name_H-M_alt 'P 1'
_space_group_IT_number 1
_cell_length_a 4.801
_cell_length_b 4.801
_cell_length_c 4.801
_cell_angle_alpha 60.00
_cell_angle_beta 60.00
_cell_angle_gamma 60.00
loop_
_space_group_symop_operation_xyz
'x,y,z'
loop_
_atom_site_label
_atom_site_type_symbol
_atom_site_fract_x
_atom_site_fract_y
_atom_site_fract_z
Li1 Li 0.750 0.750 0.750
Li2 Li 0.250 0.250 0.250
Np1 Np 0.500 0.500 0.500
In1 In 0.000 0.000 0.000
# Energy of formation from the pure elements   35 kJ/mol of atoms
# Crystal system   cubic

---

Entry 6:
# Cd2ReP (SCAN, PBEsol geometry)
data_Cd2ReP
_space_group_name_H-M_alt 'P 1'
_space_group_IT_number 1
_cell_length_a 4.545
_cell_length_b 4.545
_cell_length_c 4.545
_cell_angle_alpha 60.00
_cell_angle_beta 60.00
_cell_angle_gamma 60.00
loop_
_space_group_symop_operation_xyz
'x,y,z'
loop_
_atom_site_label
_atom_site_type_symbol
_atom_site_fract_x
_atom_site_fract_y
_atom_site_fract_z
Cd1 Cd 0.000 0.000 0.000
Cd2 Cd 0.750 0.750 0.750
P1 P 0.500 0.500 0.500
Re1 Re 0.250 0.250 0.250
# Energy of formation from the pure elements   89 kJ/mol of atoms
# Crystal system   cubic

---

Entry 7:
# Ag2POs (SCAN, PBEsol geometry)
data_Ag2POs
_space_group_name_H-M_alt 'P 1'
_space_group_IT_number 1
_cell_length_a 3.561
_cell_length_b 3.561
_cell_length_c 4.969
_cell_angle_alpha 90.00
_cell_angle_beta 90.00
_cell_angle_gamma 90.00
loop_
_space_group_symop_operation_xyz
'x,y,z'
loop_
_atom_site_label
_atom_site_type_symbol
_atom_site_fract_x
_atom_site_fract_y
_atom_site_fract_z
Os1 Os 0.500 0.500 0.000
P1 P 0.500 0.500 0.500
Ag1 Ag 0.000 0.000 0.249
Ag2 Ag 0.000 0.000 0.751
# Energy of formation from the pure elements   84 kJ/mol of atoms
# Crystal system   tetragonal

---

Entry 8:
# MnAsP4 (SCAN, PBEsol geometry)
data_MnAsP4
_space_group_name_H-M_alt 'P 1'
_space_group_IT_number 1
_cell_length_a 5.033
_cell_length_b 5.033
_cell_length_c 5.033
_cell_angle_alpha 60.00
_cell_angle_beta 60.00
_cell_angle_gamma 60.00
loop_
_space_group_symop_operation_xyz
'x,y,z'
loop_
_atom_site_label
_atom_site_type_symbol
_atom_site_fract_x
_atom_site_fract_y
_atom_site_fract_z
P1 P 0.626 0.626 0.122
P2 P 0.626 0.626 0.626
P3 P 0.122 0.626 0.626
P4 P 0.626 0.122 0.626
Mn1 Mn 0.000 0.000 0.000
As1 As 0.250 0.250 0.250
# Energy of formation from the pure elements   66 kJ/mol of atoms
# Crystal system   cubic

---

no.,volume (A^3/atom)
1,20.56
2,15.02
3,29.47
4,17.80
5,19.56
6,16.59
7,15.76
8,15.02